No. 1
VASP calculation (PBE-GGA) on a relaxed structure of Nb2CuTe4.

Calculated values
- Energy relative to the elements, uncorrected: -8.72 kcal/mol of atoms
- Polymorph energy (0 for the lowest one): 0.000 eV per atom
- Space-group type: Pm
- Crystal system: monoclinic
- Calculated total energy: -5.64 eV/atom

Lattice parameters (Å, degrees): 6.788 3.673 7.381 90.00 107.52 90.00
Atoms (fractional coordinates):
Nb 0.000 0.000 0.000
Nb 0.366 0.500 0.989
Cu 0.584 0.500 0.412
Te 0.173 0.000 0.708
Te 0.181 0.500 0.284
Te 0.683 0.000 0.201
Te 0.684 0.500 0.780

=====

No. 2
VASP calculation (PBE-GGA) on a relaxed structure of SmDyAl4.

Calculated values
- Polymorph energy (0 for the lowest one): 0.007 eV per atom
- Space-group type: P-3m1
- Crystal system: trigonal
- Calculated total energy: -4.55 eV/atom
- Energy relative to the elements: -0.505 eV/atom

Lattice parameters (Å, degrees): 5.589 5.589 9.195 90.00 90.00 120.00
Atoms (fractional coordinates):
Sm 0.333 0.667 0.431
Sm 0.667 0.333 0.569
Dy 0.333 0.667 0.067
Dy 0.667 0.333 0.933
Al 0.000 0.000 0.000
Al 0.000 0.000 0.500
Al 0.171 0.342 0.753
Al 0.171 0.829 0.753
Al 0.342 0.171 0.247
Al 0.658 0.829 0.753
Al 0.829 0.171 0.247
Al 0.829 0.658 0.247

=====

No. 3
VASP calculation (PBE-GGA) on a relaxed structure of AlTc2WN.

Calculated values
- Energy relative to the elements, uncorrected: 64.08 kcal/mol of atoms
- Space-group type: P4/mmm
- Crystal system: tetragonal
- Calculated total energy: -6.37 eV/atom

Lattice parameters (Å, degrees): 4.387 4.387 4.592 90.00 90.00 90.00
Atoms (fractional coordinates):
Al 0.000 0.000 0.000
Tc 0.000 0.500 0.000
Tc 0.500 0.000 0.000
W 0.000 0.000 0.500
N 0.500 0.500 0.500